# 1
An optimized crystal structure of Re2W, computed with GGA-PBE.

abc: 2.715 4.253 17.607
angles: 90.00 90.00 90.00
Space group Imma (No. 74)
Inequivalent atoms, fractional coordinates:
Re1 0.000 0.250 0.036 x4
Re2 0.000 0.250 0.186 x4
W1 0.000 0.250 0.617 x4

Computed properties:
The crystal system is orthorhombic. As for the relative energy among the computed polymorphs: 0.448 eV per atom.

=====

# 2
An optimized crystal structure of Re3W, computed with GGA-PBE.

abc: 2.7838 2.7838 9.1387
angles: 90.00 90.00 120.00
Space group P-6m2 (No. 187)
Inequivalent atoms, fractional coordinates:
Re1 0.0000 0.0000 0.0000 x1
Re2 0.6667 0.3333 0.2431 x2
W1 0.0000 0.0000 0.5000 x1

Computed properties:
The crystal system is hexagonal. As for the relative energy among the computed polymorphs: 0.035 eV per atom.

=====

# 3
An optimized crystal structure of ReW8, computed with GGA-PBE.

abc: 9.521 9.521 3.185
angles: 90.00 90.00 90.00
Space group I4/mmm (No. 139)
Inequivalent atoms, fractional coordinates:
Re1 0.000 0.000 0.000 x2
W1 0.000 0.333 0.000 x8
W2 0.167 0.167 0.500 x8

Computed properties:
The crystal system is tetragonal. The total energy comes out at -12.8867 eV per atom.

=====

# 4
An optimized crystal structure of ReW7, computed with GGA-PBE.

abc: 8.9791 8.9791 11.0103
angles: 90.00 90.00 120.00
Space group R-3m (No. 166, hexagonal axes)
Inequivalent atoms, fractional coordinates:
Re1 0.0000 0.0000 0.1267 x6
W1 0.0000 0.0000 0.3744 x6
W2 0.0006 0.5003 0.1250 x18
W3 0.0010 0.5005 0.6250 x18

Computed properties:
The crystal system is trigonal. As for the relative energy among the computed polymorphs: 0.000 eV per atom.

=====

# 5
An optimized crystal structure of Re3W, computed with GGA-PBE.

abc: 3.123 3.123 6.310
angles: 90.00 90.00 90.00
Space group P4/mmm (No. 123)
Inequivalent atoms, fractional coordinates:
Re1 0.000 0.000 0.000 x1
Re2 0.500 0.500 0.257 x2
W1 0.000 0.000 0.500 x1

Computed properties:
The crystal system is tetragonal. As for the relative energy among the computed polymorphs: 0.115 eV per atom.

=====

# 6
An optimized crystal structure of Re2W, computed with GGA-PBE.

abc: 2.758 7.955 4.248
angles: 90.00 90.00 90.00
Space group Pnnm (No. 58)
Inequivalent atoms, fractional coordinates:
Re1 0.153 0.163 0.000 x4
W1 0.000 0.500 0.000 x2

Computed properties:
The crystal system is orthorhombic. As for the relative energy among the computed polymorphs: 0.080 eV per atom.

=====

# 7
An optimized crystal structure of Re2W, computed with GGA-PBE.

abc: 6.4210 6.4210 4.1776
angles: 90.00 90.00 120.00
Space group P-62m (No. 189)
Inequivalent atoms, fractional coordinates:
Re1 0.0000 0.2463 0.0000 x3
Re2 0.0000 0.5847 0.5000 x3
W1 0.0000 0.0000 0.5000 x1
W2 0.3333 0.6667 0.0000 x2

Computed properties:
The crystal system is hexagonal. As for the relative energy among the computed polymorphs: 0.523 eV per atom.

=====

# 8
An optimized crystal structure of Re2W, computed with GGA-PBE.

abc: 10.374 2.796 6.699
angles: 90.00 106.35 90.00
Space group Cm (No. 8)
Inequivalent atoms, fractional coordinates:
Re1 0.000 0.000 0.000 x2
Re2 0.052 0.000 0.612 x2
Re3 0.155 0.500 0.341 x2
Re4 0.334 0.000 0.664 x2
W1 0.219 0.500 0.938 x2
W2 0.382 0.000 0.283 x2

Computed properties:
The crystal system is monoclinic. As for the relative energy among the computed polymorphs: 0.051 eV per atom.